The following is a PBEsol calculation of an optimized crystal structure of TaAl2Cl, from Alexandria.

Excess energy over the best structure of this formula in the dataset   0.0 meV per atom
Calculated total energy   -5.743 eV per atom
Energy relative to the elements, uncorrected   -0.06 eV per atom

a = 4.950 Å, b = 4.950 Å, c = 2.862 Å
α = 90.00°, β = 90.00°, γ = 103.85°
Fractional positions:
1 Ta 0.000 0.000 0.000
2 Al 0.000 0.500 0.500
3 Al 0.500 0.000 0.500
4 Cl 0.500 0.500 0.000